VASP calculation (PBE-GGA) on a relaxed structure of USeClO.

Cell: 3.8089 3.8089 7.7634 Å, 90.05 104.15 120.00°
Sites, in units of the cell vectors:
1 Se 0.9990 0.8636 0.8626
2 U 0.4996 0.6144 0.1140
3 O 0.8482 0.2887 0.1370
4 Cl 0.3453 0.0377 0.3830

Values from the calculation:
Uncorrected formation energy: -1.93 eV per atom
Density of states at the Fermi level: 1.561 states/eV per atom